*one*
Here is a relaxed GaTeP2S crystal from Alexandria. Energies are from PBE.

Cell lengths 5.099, 5.099, 5.153 Å; angles 90.00, 90.00, 90.00 degrees
Space group P4/mmm (No. 123)
Asymmetric unit:
Ga: 0.000 0.000 0.000
Te: 0.500 0.500 0.500
P: 0.000 0.500 0.500
S: 0.500 0.500 0.000

**Crystal system**: tetragonal
**Size of the total moment**: 0.00 μB/atom
**D(E_F)**: 1.010 states/eV/atom
**Volume**: 26.8 Å³ per atom

*two*
Here is a relaxed GaTeP2S crystal from Alexandria. Energies are from PBE.

Cell lengths 4.786, 4.786, 4.577 Å; angles 90.00, 90.00, 90.00 degrees
Space group P4/mmm (No. 123)
Asymmetric unit:
Ga: 0.000 0.000 0.000
Te: 0.500 0.500 0.500
P: 0.000 0.500 0.000
S: 0.000 0.000 0.500

**Crystal system**: tetragonal
**Size of the total moment**: 0.00 μB/atom
**D(E_F)**: 0.688 states/eV/atom
**Volume**: 21.0 Å³ per atom

Tell me which of them is the most stable. Sure, it is *two*.

*one*
Here is a relaxed VGaP2S crystal from Alexandria. Energies are from PBE.

Cell lengths 4.629, 4.629, 4.518 Å; angles 90.00, 90.00, 90.00 degrees
Space group P4/mmm (No. 123)
Asymmetric unit:
V: 0.000 0.000 0.000
Ga: 0.500 0.500 0.500
P: 0.000 0.500 0.000
S: 0.000 0.000 0.500

**Crystal system**: tetragonal
**Size of the total moment**: 0.00 μB/atom
**D(E_F)**: 0.565 states/eV/atom
**Volume**: 19.4 Å³ per atom

*two*
Here is a relaxed VGaP2S crystal from Alexandria. Energies are from PBE.

Cell lengths 4.577, 4.577, 4.701 Å; angles 90.00, 90.00, 90.00 degrees
Space group P4/mmm (No. 123)
Asymmetric unit:
V: 0.000 0.000 0.000
Ga: 0.500 0.500 0.500
P: 0.000 0.500 0.500
S: 0.500 0.500 0.000

**Crystal system**: tetragonal
**Size of the total moment**: 0.02 μB/atom
**D(E_F)**: 1.562 states/eV/atom
**Volume**: 19.7 Å³ per atom

Tell me which of them is the most stable. Sure, it is *one*.